Entry 1:
Crystalline Sr3SiAg at its relaxed geometry, computed with PBE.

a = 6.0274 Å, b = 6.0274 Å, c = 6.0274 Å
α = 90.00°, β = 90.00°, γ = 90.00°
With the nearest neighbours (Å) after each atom.
Sites, in units of the cell vectors:
Sr (0.0000, 0.0000, 0.5000)  2 Si 3.01
Sr (0.0000, 0.5000, 0.0000)  2 Si 3.01
Sr (0.5000, 0.0000, 0.0000)  2 Si 3.01
Si (0.0000, 0.0000, 0.0000)  6 Sr 3.01
Ag (0.5000, 0.5000, 0.5000)  12 Sr 4.26

M_tot (μB/f.u.): 0.00
Crystal system: cubic
Energy relative to the lowest polymorph listed for this composition (meV per atom): 0
ΔE_f (raw) (eV/atom): -0.04


Entry 2:
Crystalline CrPt6Rh8 at its relaxed geometry, computed with PBE.

a = 7.3315 Å, b = 7.3315 Å, c = 5.2238 Å
α = 90.00°, β = 90.00°, γ = 120.00°
With the nearest neighbours (Å) after each atom.
Sites, in units of the cell vectors:
Cr (0.0000, 0.0000, 0.0000)  6 Pt 2.58
Pt (0.0568, 0.6867, 0.0963)  4 Rh 2.56-2.85, 1 Cr 2.58, 3 Pt 2.63-2.72
Pt (0.3133, 0.3701, 0.0963)  4 Rh 2.56-2.85, 1 Cr 2.58, 3 Pt 2.63-2.72
Pt (0.3701, 0.0568, 0.9037)  4 Rh 2.56-2.85, 1 Cr 2.58, 3 Pt 2.63-2.72
Pt (0.6299, 0.9432, 0.0963)  4 Rh 2.56-2.85, 1 Cr 2.58, 3 Pt 2.63-2.72
Pt (0.6867, 0.6299, 0.9037)  4 Rh 2.56-2.85, 1 Cr 2.58, 3 Pt 2.63-2.72
Pt (0.9432, 0.3133, 0.9037)  4 Rh 2.56-2.85, 1 Cr 2.58, 3 Pt 2.63-2.72
Rh (0.0422, 0.3588, 0.4139)  3 Pt 2.56-2.74, 5 Rh 2.60-2.76
Rh (0.3166, 0.9578, 0.4139)  3 Pt 2.56-2.74, 5 Rh 2.60-2.76
Rh (0.3333, 0.6667, 0.7274)  6 Rh 2.74-2.76, 6 Pt 2.85-2.89
Rh (0.3588, 0.3166, 0.5861)  3 Pt 2.56-2.74, 5 Rh 2.60-2.76
Rh (0.6412, 0.6834, 0.4139)  3 Pt 2.56-2.74, 5 Rh 2.60-2.76
Rh (0.6667, 0.3333, 0.2726)  6 Rh 2.74-2.76, 6 Pt 2.85-2.89
Rh (0.6834, 0.0422, 0.5861)  3 Pt 2.56-2.74, 5 Rh 2.60-2.76
Rh (0.9578, 0.6412, 0.5861)  3 Pt 2.56-2.74, 5 Rh 2.60-2.76

M_tot (μB/f.u.): 1.35
Crystal system: trigonal
Formation energy (eV per atom): 0.24


Entry 3:
Crystalline CeDyHoAl at its relaxed geometry, computed with PBE.

a = 7.5228 Å, b = 7.5228 Å, c = 7.5228 Å
α = 90.00°, β = 90.00°, γ = 90.00°
With the nearest neighbours (Å) after each atom.
Sites, in units of the cell vectors:
Ce (0.0000, 0.0000, 0.0000)  4 Ho 3.26, 4 Al 3.26
Ce (0.0000, 0.5000, 0.5000)  4 Ho 3.26, 4 Al 3.26
Ce (0.5000, 0.0000, 0.5000)  4 Ho 3.26, 4 Al 3.26
Ce (0.5000, 0.5000, 0.0000)  4 Ho 3.26, 4 Al 3.26
Dy (0.0000, 0.0000, 0.5000)  4 Ho 3.26, 4 Al 3.26
Dy (0.0000, 0.5000, 0.0000)  4 Ho 3.26, 4 Al 3.26
Dy (0.5000, 0.0000, 0.0000)  4 Ho 3.26, 4 Al 3.26
Dy (0.5000, 0.5000, 0.5000)  4 Ho 3.26, 4 Al 3.26
Ho (0.2500, 0.2500, 0.2500)  4 Dy 3.26, 4 Ce 3.26
Ho (0.2500, 0.7500, 0.7500)  4 Dy 3.26, 4 Ce 3.26
Ho (0.7500, 0.2500, 0.7500)  4 Dy 3.26, 4 Ce 3.26
Ho (0.7500, 0.7500, 0.2500)  4 Dy 3.26, 4 Ce 3.26
Al (0.2500, 0.2500, 0.7500)  4 Dy 3.26, 4 Ce 3.26
Al (0.2500, 0.7500, 0.2500)  4 Dy 3.26, 4 Ce 3.26
Al (0.7500, 0.2500, 0.2500)  4 Dy 3.26, 4 Ce 3.26
Al (0.7500, 0.7500, 0.7500)  4 Dy 3.26, 4 Ce 3.26

M_tot (μB/f.u.): 0.20
Crystal system: cubic
Formation energy (eV per atom): -0.04


Entry 4:
Crystalline InIrRh2 at its relaxed geometry, computed with PBE.

a = 4.0074 Å, b = 4.0074 Å, c = 7.7622 Å
α = 90.00°, β = 90.00°, γ = 90.00°
With the nearest neighbours (Å) after each atom.
Sites, in units of the cell vectors:
In (0.0000, 0.0000, 0.0000)  8 Rh 2.79, 4 Ir 2.83
In (0.5000, 0.5000, 0.5000)  8 Rh 2.79, 4 Ir 2.83
Ir (0.0000, 0.0000, 0.5000)  8 Rh 2.79, 4 In 2.83
Ir (0.5000, 0.5000, 0.0000)  8 Rh 2.79, 4 In 2.83
Rh (0.0000, 0.5000, 0.2500)  4 In 2.79, 4 Ir 2.79, 4 Rh 2.83
Rh (0.0000, 0.5000, 0.7500)  4 In 2.79, 4 Ir 2.79, 4 Rh 2.83
Rh (0.5000, 0.0000, 0.2500)  4 In 2.79, 4 Ir 2.79, 4 Rh 2.83
Rh (0.5000, 0.0000, 0.7500)  4 In 2.79, 4 Ir 2.79, 4 Rh 2.83

M_tot (μB/f.u.): 0.00
Crystal system: tetragonal
Formation energy (eV per atom): -0.10


Number 1: E_tot -2.704 eV per atom. Number 2: E_tot -6.739 eV per atom. Number 3: E_tot -4.752 eV per atom. Number 4: E_tot -6.676 eV per atom.